<one>
DFT (PBE-GGA) results for crystalline CrTc2 at its relaxed geometry. Values from VASP.

Total moment (Bohr magnetons per cell): 0.0

The structure in Quantum ESPRESSO input format:
```
&SYSTEM
  ibrav = 0, nat = 3, ntyp = 2
/
ATOMIC_SPECIES
Cr 52.00 Cr.upf
Tc 98.00 Tc.upf
ATOMIC_POSITIONS angstrom
Cr 0.000 0.000 0.000
Tc 0.000 2.446 0.765
Tc 2.119 1.223 1.891
CELL_PARAMETERS angstrom
4.237 0.000 0.000
-2.119 3.669 0.000
0.000 0.000 2.656
```

=====

<two>
DFT (PBE-GGA) results for crystalline CrTc2 at its relaxed geometry. Values from VASP.

Total moment (Bohr magnetons per cell): 4.0

The structure in Quantum ESPRESSO input format:
```
&SYSTEM
  ibrav = 0, nat = 6, ntyp = 2
/
ATOMIC_SPECIES
Cr 52.00 Cr.upf
Tc 98.00 Tc.upf
ATOMIC_POSITIONS angstrom
Cr 0.896 0.896 0.896
Cr 6.275 6.275 6.275
Tc 3.586 1.793 1.793
Tc 1.793 3.586 1.793
Tc 1.793 1.793 3.586
Tc 3.586 3.586 3.586
CELL_PARAMETERS angstrom
0.000 3.586 3.586
3.586 0.000 3.586
3.586 3.586 0.000
```

=====

Which one sits at the top of the stability order? <one> does.